## TbDy3Y6Sc2 (PBE-GGA)

Data for a relaxed structure of TbDy3Y6Sc2.

Cell lengths 6.089, 6.089, 11.632 Å; angles 95.00, 95.00, 119.95 degrees
Sites, in units of the cell vectors:
Y (0.254, 0.254, 0.755)
Y (0.082, 0.418, 0.245)
Y (0.418, 0.082, 0.245)
Sc (0.333, 0.667, 0.000)
Sc (0.667, 0.333, 0.000)
Y (0.918, 0.582, 0.755)
Dy (0.167, 0.833, 0.500)
Tb (0.000, 0.000, 0.000)
Dy (0.500, 0.500, 0.500)
Y (0.582, 0.918, 0.755)
Y (0.746, 0.746, 0.245)
Dy (0.833, 0.167, 0.500)

Computed properties:
ΔH_f (0 K): 43 meV/atom